Entry 1:
! RbBF PBE-GGA relaxed; values from VASP
! E   -4.6176 eV per atom
! E_form (uncorrected)   -1.4455 eV per atom
&SYSTEM
  ibrav = 0, nat = 12, ntyp = 3
/
ATOMIC_SPECIES
B 10.81 B.upf
Rb 85.47 Rb.upf
F 19.00 F.upf
ATOMIC_POSITIONS angstrom
B 15.7636 -1.8590 0.8976
B -0.0244 -1.3722 2.2916
B 15.5437 -4.8398 0.1063
B -0.2442 -4.3530 1.5002
Rb 11.9565 -4.7939 1.2386
Rb 3.5629 -1.4181 1.1593
Rb 6.2453 -4.3919 1.4459
Rb 9.2741 -1.8201 0.9519
F 9.1257 -4.6003 1.3404
F 6.3937 -1.6117 1.0574
F 12.0846 -2.0163 0.8489
F 3.4348 -4.1957 1.5489
CELL_PARAMETERS angstrom
-0.0323 -1.8099 3.0234
-0.3268 -3.7453 -2.2435
15.8785 -0.6568 1.6180

=====

Entry 2:
! RbB2F8 PBE-GGA relaxed; values from VASP
! E   -5.2763 eV per atom
! E_form (uncorrected)   -2.6133 eV per atom
&SYSTEM
  ibrav = 0, nat = 11, ntyp = 3
/
ATOMIC_SPECIES
F 19.00 F.upf
B 10.81 B.upf
Rb 85.47 Rb.upf
ATOMIC_POSITIONS angstrom
F 4.6004 7.4054 5.6189
F 5.3158 2.3713 3.9606
F 2.8915 5.0412 5.9865
F 5.3158 4.4529 1.2172
F 3.6069 2.0887 1.5848
F 2.8915 7.1228 3.2431
F 1.9073 3.3428 2.5364
F 6.3000 6.1513 4.6674
B 5.9917 7.2292 5.4852
B 2.2156 2.2649 1.7185
Rb 0.0000 0.0000 0.0000
CELL_PARAMETERS angstrom
5.8133 0.8310 0.6305
1.1970 6.0732 0.9913
1.1970 2.5899 5.5819

=====

Entry 3:
! Rb2BF6 PBE-GGA relaxed; values from VASP
! E   -4.5091 eV per atom
! E_form (uncorrected)   -2.3046 eV per atom
&SYSTEM
  ibrav = 0, nat = 18, ntyp = 3
/
ATOMIC_SPECIES
F 19.00 F.upf
Rb 85.47 Rb.upf
B 10.81 B.upf
ATOMIC_POSITIONS angstrom
F -3.7442 -4.6911 5.3013
F -1.4621 -5.7678 2.6447
F 2.0333 -5.5983 6.5067
F -5.0387 -2.0010 2.1713
F 0.6623 -7.3791 6.0508
F 0.7388 -2.9083 3.3768
F -0.6126 -7.8977 2.6529
F -2.3928 0.2984 6.0252
F -1.5433 -1.8315 6.0334
F -3.6678 -0.2203 2.6273
F -2.8204 -2.3512 2.6346
F -0.1850 -5.2481 6.0434
Rb -2.2887 -4.1003 7.8803
Rb -0.7865 -0.3013 3.5411
Rb -2.2189 -7.2980 5.1370
Rb -0.7167 -3.4990 0.7978
B 2.1372 -2.3529 2.7721
B -3.6399 -1.4468 1.5669
CELL_PARAMETERS angstrom
-3.7096 1.7481 4.3211
-3.5702 -4.6417 -1.1873
4.2744 -4.7057 5.5442

=====

Entry 4:
! RbB2RhF PBE-GGA relaxed; values from VASP
! E   -4.8043 eV per atom
! E_form (uncorrected)   -0.0952 eV per atom
&SYSTEM
  ibrav = 0, nat = 5, ntyp = 4
/
ATOMIC_SPECIES
Rh 102.91 Rh.upf
Rb 85.47 Rb.upf
B 10.81 B.upf
F 19.00 F.upf
ATOMIC_POSITIONS angstrom
Rh 0.0000 0.0000 0.0000
Rb 0.0000 3.8427 0.0000
B 0.0000 0.0000 1.9763
B 1.9763 0.0000 0.0000
F 1.9763 3.8427 1.9763
CELL_PARAMETERS angstrom
3.9526 0.0000 0.0000
0.0000 7.6855 0.0000
0.0000 0.0000 3.9526

=====

Entry 5:
! Rb2BSF6 PBE-GGA relaxed; values from VASP
! E   -4.4469 eV per atom
! E_form (uncorrected)   -2.0501 eV per atom
&SYSTEM
  ibrav = 0, nat = 10, ntyp = 4
/
ATOMIC_SPECIES
F 19.00 F.upf
S 32.06 S.upf
Rb 85.47 Rb.upf
B 10.81 B.upf
ATOMIC_POSITIONS angstrom
F -2.5419 2.6187 8.5337
F -0.5650 -0.2440 4.7490
F -2.3129 0.6723 5.5522
F -0.5694 2.5200 4.4125
F -1.1614 0.3376 2.7879
F -2.9092 1.2538 3.5911
S 0.0000 0.0000 0.0000
Rb -3.3238 3.6991 5.5998
Rb 0.2125 1.4397 7.3465
B -1.7371 0.5049 4.1701
CELL_PARAMETERS angstrom
-5.2735 2.7644 2.4234
1.7992 -1.7545 5.9168
0.3630 4.1290 4.6061

=====

Entry 6:
! Rb2BSbF6 PBE-GGA relaxed; values from VASP
! E   -4.2963 eV per atom
! E_form (uncorrected)   -1.9000 eV per atom
&SYSTEM
  ibrav = 0, nat = 10, ntyp = 4
/
ATOMIC_SPECIES
F 19.00 F.upf
Rb 85.47 Rb.upf
B 10.81 B.upf
Sb 121.76 Sb.upf
ATOMIC_POSITIONS angstrom
F -7.4991 5.2757 1.2587
F -2.4696 4.3324 -0.7713
F -1.8319 1.1997 -0.2228
F -5.0122 0.5671 -0.1384
F -3.7590 2.8419 1.8055
F -5.6499 3.6999 -0.6870
Rb -4.3834 5.9034 1.2221
Rb -6.8747 2.2141 1.8421
B -3.7409 2.4498 -0.4549
Sb 0.0000 0.0000 0.0000
CELL_PARAMETERS angstrom
-1.2495 6.1391 -1.0750
-6.2323 -1.2396 0.1652
-3.7763 3.2181 3.9740

=====

What is the E in the second record? -5.2763 eV per atom

=====

Among the records above, which one has the highest E? Rb2BSbF6

=====

Which formula does entry 1 have? RbBF